Record 1
This record from Alexandria via LeMat-Bulk describes a relaxed La2SmErTe5 crystal. The functional is GGA-PBE.

## Properties
total magnetic moment = 1.003 μB/f.u.
total energy = -43.7 eV/cell
volume = 351.07 Å³ per cell

The structure in CIF format:
```
data_La2SmErTe5
_chemical_formula_sum 'La2 Sm1 Er1 Te5'
_cell_length_a 5.4822
_cell_length_b 5.4822
_cell_length_c 11.6808
_cell_angle_alpha 90.00
_cell_angle_beta 90.00
_cell_angle_gamma 90.00
_space_group_name_H-M_alt 'P 4/m m m'
_space_group_IT_number 123
_space_group_name_Hall '-P 4 2'
loop_
_atom_site_label
_atom_site_fract_x
_atom_site_fract_y
_atom_site_fract_z
_atom_site_occupancy
La1 0.0000 0.0000 0.1729 1
Sm1 0.5000 0.5000 0.5000 1
Er1 0.5000 0.5000 0.0000 1
Te1 0.0000 0.0000 0.5000 1
Te2 0.0000 0.5000 0.0000 1
Te3 0.5000 0.5000 0.2513 1
```

***

Record 2
This record from Alexandria via LeMat-Bulk describes a relaxed LaSm2Er3Te6 crystal. The functional is GGA-PBE.

## Properties
total magnetic moment = 0.000 μB/f.u.
total energy = -125.9 eV/cell
volume = 725.33 Å³ per cell

The structure in CIF format:
```
data_LaSm2Er3Te6
_chemical_formula_sum 'La2 Sm4 Er6 Te12'
_cell_length_a 19.3246
_cell_length_b 4.3622
_cell_length_c 8.9062
_cell_angle_alpha 90.00
_cell_angle_beta 104.96
_cell_angle_gamma 90.00
_space_group_name_H-M_alt 'C 1 2/m 1'
_space_group_IT_number 12
_space_group_name_Hall '-C 2y'
loop_
_atom_site_label
_atom_site_fract_x
_atom_site_fract_y
_atom_site_fract_z
_atom_site_occupancy
La1 0.0000 0.0000 0.0000 1
Sm1 0.1673 0.5000 0.3345 1
Er1 0.0000 0.0000 0.5000 1
Er2 0.1646 0.5000 0.8326 1
Te1 0.0012 0.5000 0.7372 1
Te2 0.1641 0.0000 0.5902 1
Te3 0.1723 0.0000 0.0792 1
```

***

Record 3
This record from Alexandria via LeMat-Bulk describes a relaxed La2Sm3ErTe6 crystal. The functional is GGA-PBE.

## Properties
total magnetic moment = 0.000 μB/f.u.
total energy = -129.0 eV/cell
volume = 758.32 Å³ per cell

The structure in CIF format:
```
data_La2Sm3ErTe6
_chemical_formula_sum 'La4 Sm6 Er2 Te12'
_cell_length_a 19.4504
_cell_length_b 4.4489
_cell_length_c 8.9893
_cell_angle_alpha 90.00
_cell_angle_beta 102.88
_cell_angle_gamma 90.00
_space_group_name_H-M_alt 'C 1 2/m 1'
_space_group_IT_number 12
_space_group_name_Hall '-C 2y'
loop_
_atom_site_label
_atom_site_fract_x
_atom_site_fract_y
_atom_site_fract_z
_atom_site_occupancy
La1 0.1675 0.0000 0.3346 1
Sm1 0.0000 0.5000 0.5000 1
Sm2 0.1721 0.0000 0.8350 1
Er1 0.0000 0.5000 0.0000 1
Te1 0.0041 0.0000 0.7599 1
Te2 0.1613 0.5000 0.0743 1
Te3 0.1639 0.5000 0.5885 1
```

***

Record 4
This record from Alexandria via LeMat-Bulk describes a relaxed La3SmEr3Te8 crystal. The functional is GGA-PBE.

## Properties
total magnetic moment = 0.007 μB/f.u.
total energy = -240.7 eV/cell
volume = 1480.32 Å³ per cell

The structure in CIF format:
```
data_La3SmEr3Te8
_chemical_formula_sum 'La9 Sm3 Er9 Te24'
_cell_length_a 8.8266
_cell_length_b 8.8266
_cell_length_c 21.9403
_cell_angle_alpha 90.00
_cell_angle_beta 90.00
_cell_angle_gamma 120.00
_space_group_name_H-M_alt 'R -3 m'
_space_group_IT_number 166
_space_group_name_Hall '-R 3 2"'
loop_
_atom_site_label
_atom_site_fract_x
_atom_site_fract_y
_atom_site_fract_z
_atom_site_occupancy
La1 0.0000 0.5000 0.0000 1
Sm1 0.0000 0.0000 0.5000 1
Er1 0.0000 0.5000 0.5000 1
Te1 0.0000 0.0000 0.2437 1
Te2 0.0151 0.5076 0.7527 1
```

***

Record 5
This record from Alexandria via LeMat-Bulk describes a relaxed LaSm4Er3Te8 crystal. The functional is GGA-PBE.

## Properties
total magnetic moment = 0.000 μB/f.u.
total energy = -252.1 eV/cell
volume = 1463.54 Å³ per cell

The structure in CIF format:
```
data_LaSm4Er3Te8
_chemical_formula_sum 'La3 Sm12 Er9 Te24'
_cell_length_a 8.8063
_cell_length_b 8.8063
_cell_length_c 21.7909
_cell_angle_alpha 90.00
_cell_angle_beta 90.00
_cell_angle_gamma 120.00
_space_group_name_H-M_alt 'R -3 m'
_space_group_IT_number 166
_space_group_name_Hall '-R 3 2"'
loop_
_atom_site_label
_atom_site_fract_x
_atom_site_fract_y
_atom_site_fract_z
_atom_site_occupancy
La1 0.0000 0.0000 0.0000 1
Sm1 0.0000 0.0000 0.5000 1
Sm2 0.0000 0.5000 0.5000 1
Er1 0.0000 0.5000 0.0000 1
Te1 0.0000 0.0000 0.2538 1
Te2 0.0091 0.5046 0.2516 1
```

***

Record 6
This record from Alexandria via LeMat-Bulk describes a relaxed LaSmErTe3 crystal. The functional is GGA-PBE.

## Properties
total magnetic moment = 0.001 μB/f.u.
total energy = -62.7 eV/cell
volume = 395.02 Å³ per cell

The structure in CIF format:
```
data_LaSmErTe3
_chemical_formula_sum 'La2 Sm2 Er2 Te6'
_cell_length_a 8.6452
_cell_length_b 4.3823
_cell_length_c 10.8175
_cell_angle_alpha 90.00
_cell_angle_beta 105.45
_cell_angle_gamma 90.00
_space_group_name_H-M_alt 'P 1 21/m 1'
_space_group_IT_number 11
_space_group_name_Hall '-P 2yb'
loop_
_atom_site_label
_atom_site_fract_x
_atom_site_fract_y
_atom_site_fract_z
_atom_site_occupancy
La1 0.1910 0.2500 0.2177 1
Sm1 0.3367 0.7500 0.9091 1
Er1 0.1542 0.2500 0.6220 1
Te1 0.0838 0.2500 0.8890 1
Te2 0.2183 0.7500 0.4541 1
Te3 0.4859 0.7500 0.2115 1
```